# 1
VASP calculation (PBE-GGA) on CsThInO4 after structural relaxation.

a = 6.921 Å, b = 7.569 Å, c = 10.408 Å
α = 90.00°, β = 90.00°, γ = 90.00°
Space group Imma (No. 74)
Symmetry-distinct sites (fractional):
Cs 0.000 0.250 0.146 x4
Th 0.000 0.000 0.500 x4
In 0.250 0.250 0.750 x4
O 0.000 0.066 0.725 x8
O 0.198 0.250 0.519 x8

# 2
VASP calculation (PBE-GGA) on BaTe2PtI after structural relaxation.

a = 5.453 Å, b = 5.453 Å, c = 5.616 Å
α = 90.00°, β = 90.00°, γ = 90.00°
Space group P4/mmm (No. 123)
Symmetry-distinct sites (fractional):
Ba 0.000 0.000 0.000 x1
Te 0.000 0.500 0.500 x2
Pt 0.500 0.500 0.500 x1
I 0.500 0.500 0.000 x1

- energy relative to the lowest polymorph listed for this composition (meV per atom) = 0

Formation energy (no corrections) / eV per atom: -2.278, -0.692
Uncorrected energy / eV per atom: -6.6848, -3.8510